# CeNd6DyTm2

An optimized crystal structure of CeNd6DyTm2 (PBE, Alexandria via LeMat-Bulk).

The space group is C2/m (No. 12) and the conventional cell measures 11.2443, 7.0806 and 8.8349 Å, with angles of 90.00, 103.04 and 90.00 degrees. Symmetry generates all atoms from Ce at (0.0000, 0.0000, 0.0000), Nd at (0.1293, 0.0000, 0.4207), Nd at (0.1709, 0.2679, 0.7980), Dy at (0.0000, 0.5000, 0.5000) and Tm at (0.0920, 0.5000, 0.1621).

The volume is 685.3 Å³ per cell. For the density, the calculation gives 7.30 g/cm³. The calculated formation energy is 0.2378 eV per atom.


# Pu3GaPt4

An optimized crystal structure of Pu3GaPt4 (PBE, Alexandria via LeMat-Bulk).

The space group is Immm (No. 71) and the conventional cell measures 3.9952, 6.4691 and 14.2404 Å, with angles of 90.00, 90.00 and 90.00 degrees. Symmetry generates all atoms from Pu at (0.0000, 0.0000, 0.0000), Pu at (0.0000, 0.5000, 0.1896), Ga at (0.0000, 0.0000, 0.5000) and Pt at (0.0000, 0.2900, 0.3785).

The volume is 368.1 Å³ per cell. For the density, the calculation gives 14.28 g/cm³. The calculated formation energy is -0.6356 eV per atom.


The evaluated total energy for the records listed, in turn: -4.57; -9.41 eV/atom.